Below is crystalline Na2AuSe2 at its relaxed geometry, with properties calculated at the GGA-PBE level.

Geometry as POSCAR:
```
Na2AuSe2
1.0
-2.931 2.931 5.007
2.931 -2.931 5.007
2.931 2.931 -5.007
Na Au Se
2 1 2
direct
0.250 0.750 0.500
0.750 0.250 0.500
0.000 0.000 0.000
0.239 0.239 0.000
0.761 0.761 0.000
```

## Properties
final energy	-3.16	eV/atom
volume	34.42	Å³ per atom
space group	I4/mmm, No. 139
formation energy from raw total energies	-2.90	eV/f.u.

---

Below is crystalline Na2AuSe3 at its relaxed geometry, with properties calculated at the GGA-PBE level.

Geometry as POSCAR:
```
Na2AuSe3
1.0
0.000 4.691 7.384
4.432 0.000 7.384
4.432 4.691 0.000
Na Au Se
4 2 6
direct
0.225 0.775 0.775
0.250 0.250 0.250
0.750 0.750 0.750
0.775 0.225 0.225
0.208 0.208 0.792
0.792 0.792 0.208
0.109 0.687 0.313
0.313 0.891 0.109
0.377 0.377 0.623
0.623 0.623 0.377
0.687 0.109 0.891
0.891 0.313 0.687
```

## Properties
final energy	-3.20	eV/atom
volume	25.59	Å³ per atom
space group	Fmmm, No. 69
formation energy from raw total energies	-2.86	eV/f.u.

---

Below is crystalline Na5AuSe12 at its relaxed geometry, with properties calculated at the GGA-PBE level.

Geometry as POSCAR:
```
Na5AuSe12
1.0
7.171 0.000 0.000
0.000 17.528 0.000
-2.305 0.000 8.126
Na Au Se
10 2 24
direct
0.124 0.000 0.095
0.218 0.794 0.038
0.231 0.203 0.330
0.299 0.419 0.534
0.334 0.618 0.301
0.666 0.118 0.699
0.701 0.919 0.466
0.769 0.703 0.670
0.782 0.294 0.962
0.876 0.500 0.905
0.217 0.208 0.824
0.783 0.708 0.176
0.013 0.145 0.561
0.042 0.400 0.197
0.050 0.337 0.736
0.095 0.639 0.950
0.157 0.020 0.559
0.209 0.803 0.502
0.307 0.399 0.077
0.367 0.613 0.845
0.388 0.081 0.906
0.399 0.040 0.414
0.423 0.270 0.087
0.471 0.780 0.385
0.529 0.280 0.615
0.577 0.770 0.913
0.601 0.540 0.586
0.612 0.581 0.094
0.633 0.113 0.155
0.693 0.899 0.923
0.791 0.303 0.498
0.843 0.520 0.441
0.905 0.139 0.050
0.950 0.837 0.264
0.958 0.900 0.803
0.987 0.645 0.439
```

## Properties
final energy	-3.38	eV/atom
volume	28.38	Å³ per atom
space group	P2_1, No. 4
formation energy from raw total energies	-9.19	eV/f.u.

---

Below is crystalline NaAu2Se2 at its relaxed geometry, with properties calculated at the GGA-PBE level.

Geometry as POSCAR:
```
NaAu2Se2
1.0
-2.090 2.090 6.543
2.090 -2.090 6.543
2.090 2.090 -6.543
Na Au Se
1 2 2
direct
0.000 0.000 0.000
0.250 0.750 0.500
0.750 0.250 0.500
0.389 0.389 0.000
0.611 0.611 0.000
```

## Properties
final energy	-3.15	eV/atom
volume	22.86	Å³ per atom
space group	I4/mmm, No. 139
formation energy from raw total energies	-0.91	eV/f.u.
excess energy over the best structure of this formula in the dataset	135	meV/atom

---

> What is the formation energy from raw total energies in the second record?

-2.86 eV/f.u.